Arrangement w

Here is an optimized crystal structure of Tl12InHg6 from Alexandria via LeMat-Bulk. Energies are from PBE-GGA.

Lattice parameters (Å, degrees): 9.048 9.048 9.048 108.85 108.85 108.85
Fractional coordinates of all 19 atoms:
Tl 0.541 0.191 0.540
Tl 0.191 0.540 0.541
Tl 0.540 0.541 0.191
Tl 0.459 0.809 0.460
Tl 0.809 0.460 0.459
Tl 0.460 0.459 0.809
Tl 0.271 0.999 0.728
Tl 0.272 0.729 0.001
Tl 0.001 0.272 0.729
Tl 0.729 0.001 0.272
Tl 0.728 0.271 0.999
Tl 0.999 0.728 0.271
In 0.000 0.000 0.000
Hg 0.146 0.146 0.403
Hg 0.854 0.597 0.854
Hg 0.597 0.854 0.854
Hg 0.854 0.854 0.597
Hg 0.146 0.403 0.146
Hg 0.403 0.146 0.146

## Properties
DOS at the Fermi energy ... 0.428 states/eV per atom
Theoretical density ... 10.740 g cm⁻³

Arrangement x

Here is an optimized crystal structure of Tl12InHg6 from Alexandria via LeMat-Bulk. Energies are from PBE-GGA.

Lattice parameters (Å, degrees): 8.493 8.493 8.493 100.29 100.29 100.29
Fractional coordinates of all 19 atoms:
Tl 0.921 0.656 0.657
Tl 0.657 0.921 0.656
Tl 0.656 0.657 0.921
Tl 0.079 0.344 0.343
Tl 0.343 0.079 0.344
Tl 0.344 0.343 0.079
Tl 0.924 0.867 0.331
Tl 0.133 0.669 0.076
Tl 0.669 0.076 0.133
Tl 0.076 0.133 0.669
Tl 0.867 0.331 0.924
Tl 0.331 0.924 0.867
In 0.000 0.000 0.000
Hg 0.513 0.749 0.265
Hg 0.735 0.487 0.251
Hg 0.251 0.735 0.487
Hg 0.487 0.251 0.735
Hg 0.265 0.513 0.749
Hg 0.749 0.265 0.513

## Properties
DOS at the Fermi energy ... 0.505 states/eV per atom
Theoretical density ... 10.818 g cm⁻³

We find arrangement x to be the most stable, with the next structure 0.013 eV/atom higher.

Arrangement w

Here is an optimized crystal structure of Tl8In2Hg3 from Alexandria via LeMat-Bulk. Energies are from PBE-GGA.

Lattice parameters (Å, degrees): 8.505 6.684 8.755 112.44 117.19 90.00
Fractional coordinates of all 13 atoms:
Tl 0.736 0.583 0.165
Tl 0.264 0.417 0.835
Tl 0.830 0.249 0.497
Tl 0.170 0.751 0.503
Tl 0.575 0.602 0.725
Tl 0.575 0.123 0.725
Tl 0.425 0.877 0.275
Tl 0.425 0.398 0.275
In 0.136 0.183 0.366
In 0.864 0.817 0.634
Hg 0.500 0.000 0.000
Hg 0.000 0.266 0.000
Hg 0.000 0.734 0.000

## Properties
DOS at the Fermi energy ... 0.484 states/eV per atom
Theoretical density ... 10.242 g cm⁻³

Arrangement x

Here is an optimized crystal structure of Tl8In2Hg3 from Alexandria via LeMat-Bulk. Energies are from PBE-GGA.

Lattice parameters (Å, degrees): 4.993 10.321 9.603 122.50 90.00 90.00
Fractional coordinates of all 13 atoms:
Tl 0.000 0.615 0.229
Tl 0.000 0.385 0.771
Tl 0.000 0.138 0.275
Tl 0.000 0.862 0.725
Tl 0.500 0.622 0.736
Tl 0.500 0.114 0.735
Tl 0.500 0.886 0.265
Tl 0.500 0.378 0.264
In 0.500 0.261 0.521
In 0.500 0.739 0.479
Hg 0.500 0.000 0.000
Hg 0.000 0.245 0.000
Hg 0.000 0.755 0.000

## Properties
DOS at the Fermi energy ... 0.400 states/eV per atom
Theoretical density ... 9.814 g cm⁻³

We find arrangement w to be the most stable, with the next structure 0.009 eV/atom higher.

Arrangement w

Here is an optimized crystal structure of Tl4InHg4 from Alexandria via LeMat-Bulk. Energies are from PBE-GGA.

Lattice parameters (Å, degrees): 6.128 9.250 9.250 90.00 90.00 90.00
Fractional coordinates of all 18 atoms:
Tl 0.346 0.420 0.834
Tl 0.846 0.666 0.920
Tl 0.346 0.580 0.166
Tl 0.154 0.080 0.666
Tl 0.654 0.834 0.580
Tl 0.154 0.920 0.334
Tl 0.846 0.334 0.080
Tl 0.654 0.166 0.420
In 0.000 0.000 0.000
In 0.500 0.500 0.500
Hg 0.632 0.894 0.193
Hg 0.632 0.106 0.807
Hg 0.132 0.693 0.606
Hg 0.868 0.394 0.693
Hg 0.868 0.606 0.307
Hg 0.368 0.193 0.106
Hg 0.368 0.807 0.894
Hg 0.132 0.307 0.394

## Properties
DOS at the Fermi energy ... 0.483 states/eV per atom
Theoretical density ... 10.989 g cm⁻³

Arrangement x

Here is an optimized crystal structure of Tl4InHg4 from Alexandria via LeMat-Bulk. Energies are from PBE-GGA.

Lattice parameters (Å, degrees): 7.971 7.971 7.350 122.83 122.83 90.00
Fractional coordinates of all 9 atoms:
Tl 0.500 0.000 0.000
Tl 0.000 0.500 0.000
Tl 0.340 0.340 0.680
Tl 0.660 0.660 0.320
In 0.000 0.000 0.000
Hg 0.598 0.598 0.661
Hg 0.402 0.936 0.339
Hg 0.064 0.064 0.661
Hg 0.936 0.402 0.339

## Properties
DOS at the Fermi energy ... 0.386 states/eV per atom
Theoretical density ... 9.610 g cm⁻³

We find arrangement w to be the most stable, with the next structure 0.084 eV/atom higher.

Arrangement w

Here is an optimized crystal structure of Tl4In2Hg5 from Alexandria via LeMat-Bulk. Energies are from PBE-GGA.

Lattice parameters (Å, degrees): 3.429 8.188 11.282 96.28 90.00 90.00
Fractional coordinates of all 11 atoms:
Tl 0.500 0.702 0.556
Tl 0.500 0.153 0.901
Tl 0.500 0.298 0.444
Tl 0.500 0.847 0.099
In 0.000 0.058 0.638
In 0.000 0.942 0.362
Hg 0.000 0.571 0.287
Hg 0.000 0.205 0.172
Hg 0.000 0.500 0.000
Hg 0.000 0.795 0.828
Hg 0.000 0.429 0.713

## Properties
DOS at the Fermi energy ... 0.353 states/eV per atom
Theoretical density ... 10.811 g cm⁻³

Arrangement x

Here is an optimized crystal structure of Tl4In2Hg5 from Alexandria via LeMat-Bulk. Energies are from PBE-GGA.

Lattice parameters (Å, degrees): 3.717 10.139 9.960 120.43 90.00 90.00
Fractional coordinates of all 11 atoms:
Tl 0.500 0.760 0.511
Tl 0.500 0.232 0.009
Tl 0.500 0.240 0.489
Tl 0.500 0.768 0.991
In 0.000 0.130 0.686
In 0.000 0.870 0.314
Hg 0.000 0.455 0.323
Hg 0.000 0.091 0.183
Hg 0.000 0.500 0.000
Hg 0.000 0.909 0.817
Hg 0.000 0.545 0.677

## Properties
DOS at the Fermi energy ... 0.545 states/eV per atom
Theoretical density ... 10.518 g cm⁻³

We find arrangement w to be the most stable, with the next structure 0.025 eV/atom higher.

Arrangement w

Here is an optimized crystal structure of TlIn2Hg4 from Alexandria via LeMat-Bulk. Energies are from PBE-GGA.

Lattice parameters (Å, degrees): 5.886 5.886 8.581 110.06 110.06 90.00
Fractional coordinates of all 7 atoms:
Tl 0.000 0.000 0.000
Hg 0.797 0.797 0.594
Hg 0.203 0.203 0.406
Hg 0.000 0.500 0.000
Hg 0.500 0.000 0.000
In 0.601 0.601 0.201
In 0.399 0.399 0.799

## Properties
DOS at the Fermi energy ... 0.589 states/eV per atom
Theoretical density ... 7.898 g cm⁻³

Arrangement x

Here is an optimized crystal structure of TlIn2Hg4 from Alexandria via LeMat-Bulk. Energies are from PBE-GGA.

Lattice parameters (Å, degrees): 5.016 5.016 9.773 75.13 75.13 60.00
Fractional coordinates of all 7 atoms:
Tl 0.000 0.000 0.000
In 0.755 0.755 0.736
In 0.245 0.245 0.264
Hg 0.865 0.865 0.406
Hg 0.135 0.135 0.594
Hg 0.613 0.613 0.161
Hg 0.387 0.387 0.839

## Properties
DOS at the Fermi energy ... 0.184 states/eV per atom
Theoretical density ... 10.095 g cm⁻³

We find arrangement x to be the most stable, with the next structure 0.173 eV/atom higher.

Arrangement w

Here is an optimized crystal structure of Tl5In2Hg2 from Alexandria via LeMat-Bulk. Energies are from PBE-GGA.

Lattice parameters (Å, degrees): 4.768 9.136 7.784 126.09 90.00 105.13
Fractional coordinates of all 9 atoms:
Tl 0.437 0.875 0.209
Tl 0.563 0.125 0.791
Tl 0.116 0.232 0.559
Tl 0.884 0.768 0.441
Tl 0.000 0.000 0.000
In 0.223 0.446 0.127
In 0.777 0.554 0.873
Hg 0.333 0.665 0.661
Hg 0.667 0.335 0.339

## Properties
DOS at the Fermi energy ... 0.506 states/eV per atom
Theoretical density ... 10.584 g cm⁻³

Arrangement x

Here is an optimized crystal structure of Tl5In2Hg2 from Alexandria via LeMat-Bulk. Energies are from PBE-GGA.

Lattice parameters (Å, degrees): 3.868 3.868 20.912 90.00 90.00 120.00
Fractional coordinates of all 9 atoms:
Tl 0.000 0.000 0.000
Tl 0.667 0.333 0.783
Tl 0.333 0.667 0.217
Tl 0.667 0.333 0.441
Tl 0.333 0.667 0.559
In 0.000 0.000 0.329
In 0.000 0.000 0.671
Hg 0.667 0.333 0.109
Hg 0.333 0.667 0.891

## Properties
DOS at the Fermi energy ... 0.503 states/eV per atom
Theoretical density ... 10.129 g cm⁻³

We find arrangement w to be the most stable, with the next structure 0.019 eV/atom higher.

Arrangement w

Here is an optimized crystal structure of TlIn6Hg8 from Alexandria via LeMat-Bulk. Energies are from PBE-GGA.

Lattice parameters (Å, degrees): 4.042 11.027 11.027 120.00 90.00 90.00
Fractional coordinates of all 15 atoms:
Tl 0.500 0.000 0.000
In 0.725 0.624 0.106
In 0.725 0.894 0.518
In 0.725 0.482 0.376
In 0.275 0.376 0.894
In 0.275 0.106 0.482
In 0.275 0.518 0.624
Hg 0.799 0.941 0.234
Hg 0.799 0.766 0.707
Hg 0.799 0.293 0.059
Hg 0.201 0.059 0.766
Hg 0.201 0.234 0.293
Hg 0.201 0.707 0.941
Hg 0.776 0.333 0.667
Hg 0.224 0.667 0.333

## Properties
DOS at the Fermi energy ... 0.367 states/eV per atom
Theoretical density ... 9.747 g cm⁻³

Arrangement x

Here is an optimized crystal structure of TlIn6Hg8 from Alexandria via LeMat-Bulk. Energies are from PBE-GGA.

Lattice parameters (Å, degrees): 8.532 8.532 8.506 59.90 59.90 60.00
Fractional coordinates of all 15 atoms:
Tl 0.000 0.000 0.000
In 0.409 0.059 0.819
In 0.941 0.287 0.181
In 0.287 0.591 0.181
In 0.713 0.409 0.819
In 0.059 0.713 0.819
In 0.591 0.941 0.181
Hg 0.558 0.198 0.370
Hg 0.802 0.126 0.630
Hg 0.126 0.442 0.630
Hg 0.666 0.666 0.003
Hg 0.334 0.334 0.997
Hg 0.874 0.558 0.370
Hg 0.198 0.874 0.370
Hg 0.442 0.802 0.630

## Properties
DOS at the Fermi energy ... 0.232 states/eV per atom
Theoretical density ... 9.487 g cm⁻³

We find arrangement x to be the most stable, with the next structure 0.007 eV/atom higher.

Arrangement w

Here is an optimized crystal structure of TlIn7Hg12 from Alexandria via LeMat-Bulk. Energies are from PBE-GGA.

Lattice parameters (Å, degrees): 9.463 9.463 9.463 109.47 109.47 109.47
Fractional coordinates of all 20 atoms:
Tl 0.000 0.000 0.000
In 0.500 0.000 0.500
In 0.500 0.500 0.000
In 0.000 0.500 0.500
In 0.000 0.000 0.500
In 0.500 0.000 0.000
In 0.500 0.500 0.500
In 0.000 0.500 0.000
Hg 0.301 0.187 0.488
Hg 0.301 0.813 0.114
Hg 0.699 0.813 0.512
Hg 0.699 0.187 0.886
Hg 0.488 0.301 0.187
Hg 0.886 0.699 0.187
Hg 0.512 0.699 0.813
Hg 0.114 0.301 0.813
Hg 0.813 0.114 0.301
Hg 0.187 0.886 0.699
Hg 0.187 0.488 0.301
Hg 0.813 0.512 0.699

## Properties
DOS at the Fermi energy ... 0.392 states/eV per atom
Theoretical density ... 8.693 g cm⁻³

Arrangement x

Here is an optimized crystal structure of TlIn7Hg12 from Alexandria via LeMat-Bulk. Energies are from PBE-GGA.

Lattice parameters (Å, degrees): 8.416 8.416 8.417 95.63 95.63 95.63
Fractional coordinates of all 20 atoms:
Tl 0.000 0.000 0.000
In 0.402 0.110 0.110
In 0.890 0.598 0.890
In 0.890 0.890 0.598
In 0.500 0.500 0.500
In 0.110 0.110 0.402
In 0.110 0.402 0.110
In 0.598 0.890 0.890
Hg 0.776 0.223 0.223
Hg 0.777 0.224 0.777
Hg 0.837 0.509 0.509
Hg 0.491 0.163 0.491
Hg 0.777 0.777 0.224
Hg 0.491 0.491 0.163
Hg 0.509 0.509 0.837
Hg 0.223 0.223 0.776
Hg 0.509 0.837 0.509
Hg 0.163 0.491 0.491
Hg 0.223 0.776 0.223
Hg 0.224 0.777 0.777

## Properties
DOS at the Fermi energy ... 0.396 states/eV per atom
Theoretical density ... 9.662 g cm⁻³

We find arrangement x to be the most stable, with the next structure 0.052 eV/atom higher.